1.
First-principles (PBE) data for crystalline Ba4LaTl5 at its relaxed geometry, as listed in Alexandria.

- symmetry = No. 123
- Fermi-level density of states (states/eV/f.u.) = 8.82
- VASP energy (eV per formula unit) = -28.44

abc: 4.2010 4.2010 21.4938
angles: 90.00 90.00 90.00
Positions (direct):
1 Ba 0.0000 0.0000 0.1020
2 Ba 0.0000 0.0000 0.3087
3 Ba 0.0000 0.0000 0.6913
4 Ba 0.0000 0.0000 0.8980
5 La 0.0000 0.0000 0.5000
6 Tl 0.5000 0.5000 0.0000
7 Tl 0.5000 0.5000 0.2034
8 Tl 0.5000 0.5000 0.4162
9 Tl 0.5000 0.5000 0.5838
10 Tl 0.5000 0.5000 0.7966

=====

2.
First-principles (PBE) data for crystalline Ba5LaTl6 at its relaxed geometry, as listed in Alexandria.

- symmetry = No. 12
- Fermi-level density of states (states/eV/f.u.) = 9.34
- VASP energy (eV per formula unit) = -33.55

abc: 10.4212 10.4212 6.0348
angles: 106.56 106.56 47.28
Positions (direct):
1 Ba 0.0000 0.0000 0.0000
2 Ba 0.1602 0.1602 0.6598
3 Ba 0.3176 0.3176 0.3182
4 Ba 0.6824 0.6824 0.6818
5 Ba 0.8398 0.8398 0.3402
6 La 0.5000 0.5000 0.0000
7 Tl 0.1202 0.5673 0.8449
8 Tl 0.2875 0.7125 0.5000
9 Tl 0.4327 0.8798 0.1551
10 Tl 0.5673 0.1202 0.8449
11 Tl 0.7125 0.2875 0.5000
12 Tl 0.8798 0.4327 0.1551

=====

3.
First-principles (PBE) data for crystalline BaLaTl at its relaxed geometry, as listed in Alexandria.

- symmetry = No. 216
- Fermi-level density of states (states/eV/f.u.) = 3.44
- offset from the most stable computed form (meV per atom) = 231

abc: 5.6956 5.6956 5.6956
angles: 60.00 60.00 60.00
Positions (direct):
1 Ba 0.0000 0.0000 0.0000
2 La 0.5000 0.5000 0.5000
3 Tl 0.2500 0.2500 0.2500

=====

4.
First-principles (PBE) data for crystalline Ba2LaTl at its relaxed geometry, as listed in Alexandria.

- symmetry = No. 6
- Fermi-level density of states (states/eV/f.u.) = 5.02
- offset from the most stable computed form (meV per atom) = 172

abc: 4.2277 5.6282 7.6689
angles: 90.00 105.96 90.00
Positions (direct):
1 Ba 0.0000 0.0000 0.0000
2 Ba 0.3168 0.5000 0.6316
3 La 0.5976 0.5000 0.1991
4 Tl 0.7209 0.0000 0.4349

=====

5.
First-principles (PBE) data for crystalline Ba2LaTl at its relaxed geometry, as listed in Alexandria.

- symmetry = No. 99
- Fermi-level density of states (states/eV/f.u.) = 4.88
- offset from the most stable computed form (meV per atom) = 106

abc: 4.1963 4.1963 10.2752
angles: 90.00 90.00 90.00
Positions (direct):
1 Ba 0.0000 0.0000 0.0000
2 Ba 0.5000 0.5000 0.3496
3 La 0.0000 0.0000 0.6219
4 Tl 0.5000 0.5000 0.7800

=====

6.
First-principles (PBE) data for crystalline BaLa2Tl9 at its relaxed geometry, as listed in Alexandria.

- symmetry = No. 123
- Fermi-level density of states (states/eV/f.u.) = 6.37
- VASP energy (eV per formula unit) = -36.88

abc: 4.9680 4.9680 14.9274
angles: 90.00 90.00 90.00
Positions (direct):
1 Ba 0.0000 0.0000 0.0000
2 La 0.0000 0.0000 0.3411
3 La 0.0000 0.0000 0.6589
4 Tl 0.0000 0.5000 0.1763
5 Tl 0.0000 0.5000 0.5000
6 Tl 0.0000 0.5000 0.8237
7 Tl 0.5000 0.0000 0.1763
8 Tl 0.5000 0.0000 0.5000
9 Tl 0.5000 0.0000 0.8237
10 Tl 0.5000 0.5000 0.0000
11 Tl 0.5000 0.5000 0.3344
12 Tl 0.5000 0.5000 0.6656

=====

7.
First-principles (PBE) data for crystalline BaLaTl at its relaxed geometry, as listed in Alexandria.

- symmetry = No. 194
- Fermi-level density of states (states/eV/f.u.) = 4.69
- offset from the most stable computed form (meV per atom) = 713

abc: 5.8895 5.8895 12.3024
angles: 90.00 90.00 120.00
Positions (direct):
1 Ba 0.3333 0.6667 0.2500
2 Ba 0.6667 0.3333 0.7500
3 La 0.0000 0.0000 0.0000
4 La 0.0000 0.0000 0.5000
5 Tl 0.0000 0.0000 0.2500
6 Tl 0.0000 0.0000 0.7500

=====

8.
First-principles (PBE) data for crystalline BaLaTl2 at its relaxed geometry, as listed in Alexandria.

- symmetry = No. 122
- Fermi-level density of states (states/eV/f.u.) = 5.91
- VASP energy (eV per formula unit) = -11.83

abc: 7.4920 7.4920 7.4920
angles: 104.65 104.65 119.61
Positions (direct):
1 Ba 0.0000 0.0000 0.0000
2 Ba 0.7500 0.2500 0.5000
3 La 0.2500 0.7500 0.5000
4 La 0.5000 0.5000 0.0000
5 Tl 0.1500 0.6250 0.0250
6 Tl 0.3750 0.4000 0.5250
7 Tl 0.6000 0.1250 0.9750
8 Tl 0.8750 0.8500 0.4750

=====

9.
First-principles (PBE) data for crystalline BaLaTl at its relaxed geometry, as listed in Alexandria.

- symmetry = No. 6
- Fermi-level density of states (states/eV/f.u.) = 3.24
- offset from the most stable computed form (meV per atom) = 61

abc: 6.0898 3.9863 9.9564
angles: 90.00 107.77 90.00
Positions (direct):
1 Ba 0.0000 0.0000 0.0000
2 Ba 0.3697 0.0000 0.7385
3 La 0.0849 0.5000 0.3693
4 La 0.6118 0.0000 0.3691
5 Tl 0.5476 0.5000 0.0859
6 Tl 0.8320 0.5000 0.6524

=====

10.
First-principles (PBE) data for crystalline BaLaTl at its relaxed geometry, as listed in Alexandria.

- symmetry = No. 129
- Fermi-level density of states (states/eV/f.u.) = 2.33
- offset from the most stable computed form (meV per atom) = 0

abc: 5.3397 5.3397 8.6276
angles: 90.00 90.00 90.00
Positions (direct):
1 Ba 0.2500 0.2500 0.1359
2 Ba 0.7500 0.7500 0.8641
3 La 0.2500 0.7500 0.5000
4 La 0.7500 0.2500 0.5000
5 Tl 0.2500 0.2500 0.7320
6 Tl 0.7500 0.7500 0.2680

=====

11.
First-principles (PBE) data for crystalline Ba2LaTl at its relaxed geometry, as listed in Alexandria.

- symmetry = No. 225
- Fermi-level density of states (states/eV/f.u.) = 3.86
- offset from the most stable computed form (meV per atom) = 340

abc: 6.1984 6.1984 6.1984
angles: 60.00 60.00 60.00
Positions (direct):
1 Ba 0.2500 0.2500 0.2500
2 Ba 0.7500 0.7500 0.7500
3 La 0.0000 0.0000 0.0000
4 Tl 0.5000 0.5000 0.5000

=====

12.
First-principles (PBE) data for crystalline Ba2LaTl at its relaxed geometry, as listed in Alexandria.

- symmetry = No. 47
- Fermi-level density of states (states/eV/f.u.) = 5.71
- offset from the most stable computed form (meV per atom) = 229

abc: 4.0441 5.3936 7.6660
angles: 90.00 90.00 90.00
Positions (direct):
1 Ba 0.0000 0.0000 0.2350
2 Ba 0.0000 0.0000 0.7650
3 La 0.5000 0.5000 0.5000
4 Tl 0.5000 0.5000 0.0000

=====

13.
First-principles (PBE) data for crystalline Ba2LaTl6 at its relaxed geometry, as listed in Alexandria.

- symmetry = No. 164
- Fermi-level density of states (states/eV/f.u.) = 5.17
- VASP energy (eV per formula unit) = -24.10

abc: 10.0362 10.0362 4.1726
angles: 90.00 90.00 120.00
Positions (direct):
1 Ba 0.3333 0.6667 0.1346
2 Ba 0.6667 0.3333 0.8654
3 La 0.0000 0.0000 0.0000
4 Tl 0.1689 0.3377 0.6457
5 Tl 0.1689 0.8311 0.6457
6 Tl 0.3377 0.1689 0.3543
7 Tl 0.6623 0.8311 0.6457
8 Tl 0.8311 0.1689 0.3543
9 Tl 0.8311 0.6623 0.3543

=====

14.
First-principles (PBE) data for crystalline BaLaTl at its relaxed geometry, as listed in Alexandria.

- symmetry = No. 63
- Fermi-level density of states (states/eV/f.u.) = 3.49
- offset from the most stable computed form (meV per atom) = 170

abc: 7.2446 7.2446 7.5254
angles: 90.00 90.00 141.45
Positions (direct):
1 Ba 0.1685 0.8315 0.7500
2 Ba 0.8315 0.1685 0.2500
3 La 0.0946 0.9054 0.2500
4 La 0.9054 0.0946 0.7500
5 Tl 0.5000 0.5000 0.0000
6 Tl 0.5000 0.5000 0.5000

=====

15.
First-principles (PBE) data for crystalline Ba2LaTl3 at its relaxed geometry, as listed in Alexandria.

- symmetry = No. 123
- Fermi-level density of states (states/eV/f.u.) = 5.81
- VASP energy (eV per formula unit) = -18.27

abc: 4.1411 4.1411 12.8564
angles: 90.00 90.00 90.00
Positions (direct):
1 Ba 0.0000 0.0000 0.1769
2 Ba 0.0000 0.0000 0.8231
3 La 0.0000 0.0000 0.5000
4 Tl 0.5000 0.5000 0.0000
5 Tl 0.5000 0.5000 0.3576
6 Tl 0.5000 0.5000 0.6424

=====

16.
First-principles (PBE) data for crystalline Ba2LaTl at its relaxed geometry, as listed in Alexandria.

- symmetry = No. 216
- Fermi-level density of states (states/eV/f.u.) = 6.02
- offset from the most stable computed form (meV per atom) = 276

abc: 6.1201 6.1201 6.1201
angles: 60.00 60.00 60.00
Positions (direct):
1 Ba 0.0000 0.0000 0.0000
2 Ba 0.2500 0.2500 0.2500
3 La 0.5000 0.5000 0.5000
4 Tl 0.7500 0.7500 0.7500

=====

17.
First-principles (PBE) data for crystalline BaLaTl at its relaxed geometry, as listed in Alexandria.

- symmetry = No. 156
- Fermi-level density of states (states/eV/f.u.) = 2.67
- offset from the most stable computed form (meV per atom) = 145

abc: 5.6477 5.6477 4.1072
angles: 90.00 90.00 120.00
Positions (direct):
1 Ba 0.0000 0.0000 0.0000
2 La 0.3333 0.6667 0.4107
3 Tl 0.6667 0.3333 0.5826

=====

18.
First-principles (PBE) data for crystalline BaLaTl2 at its relaxed geometry, as listed in Alexandria.

- symmetry = No. 99
- Fermi-level density of states (states/eV/f.u.) = 4.36
- VASP energy (eV per formula unit) = -12.14

abc: 4.5837 4.5837 7.2775
angles: 90.00 90.00 90.00
Positions (direct):
1 Ba 0.0000 0.0000 0.0000
2 La 0.5000 0.5000 0.3627
3 Tl 0.0000 0.0000 0.5029
4 Tl 0.5000 0.5000 0.7978

=====

19.
First-principles (PBE) data for crystalline BaLa2Tl2 at its relaxed geometry, as listed in Alexandria.

- symmetry = No. 139
- Fermi-level density of states (states/eV/f.u.) = 7.91
- offset from the most stable computed form (meV per atom) = 86

abc: 8.1881 8.1881 8.1881
angles: 143.64 143.64 52.37
Positions (direct):
1 Ba 0.0000 0.0000 0.0000
2 La 0.2500 0.7500 0.5000
3 La 0.7500 0.2500 0.5000
4 Tl 0.3984 0.3984 0.0000
5 Tl 0.6016 0.6016 0.0000

=====

20.
First-principles (PBE) data for crystalline BaLaTl at its relaxed geometry, as listed in Alexandria.

- symmetry = No. 107
- Fermi-level density of states (states/eV/f.u.) = 4.07
- offset from the most stable computed form (meV per atom) = 105

abc: 7.6529 7.6529 7.6529
angles: 148.39 148.39 45.31
Positions (direct):
1 Ba 0.0000 0.0000 0.0000
2 La 0.2736 0.2736 0.0000
3 Tl 0.6622 0.6622 0.0000

=====

21.
First-principles (PBE) data for crystalline Ba2LaTl at its relaxed geometry, as listed in Alexandria.

- symmetry = No. 123
- Fermi-level density of states (states/eV/f.u.) = 6.07
- offset from the most stable computed form (meV per atom) = 264

abc: 6.2447 6.2447 4.2857
angles: 90.00 90.00 90.00
Positions (direct):
1 Ba 0.0000 0.5000 0.0000
2 Ba 0.5000 0.0000 0.0000
3 La 0.0000 0.0000 0.5000
4 Tl 0.5000 0.5000 0.5000

=====

22.
First-principles (PBE) data for crystalline BaLa2Tl2 at its relaxed geometry, as listed in Alexandria.

- symmetry = No. 11
- Fermi-level density of states (states/eV/f.u.) = 2.23
- offset from the most stable computed form (meV per atom) = 12

abc: 7.6306 5.4620 9.4909
angles: 90.00 113.66 90.00
Positions (direct):
1 Ba 0.0939 0.2500 0.1855
2 Ba 0.9061 0.7500 0.8145
3 La 0.2718 0.7500 0.5434
4 La 0.4526 0.7500 0.9092
5 La 0.5474 0.2500 0.0908
6 La 0.7282 0.2500 0.4566
7 Tl 0.1641 0.2500 0.7373
8 Tl 0.4282 0.7500 0.2636
9 Tl 0.5718 0.2500 0.7364
10 Tl 0.8359 0.7500 0.2627

=====

23.
First-principles (PBE) data for crystalline BaLa4Tl5 at its relaxed geometry, as listed in Alexandria.

- symmetry = No. 123
- Fermi-level density of states (states/eV/f.u.) = 9.53
- VASP energy (eV per formula unit) = -37.60

abc: 4.0270 4.0270 20.3930
angles: 90.00 90.00 90.00
Positions (direct):
1 Ba 0.0000 0.0000 0.0000
2 La 0.0000 0.0000 0.2097
3 La 0.0000 0.0000 0.4039
4 La 0.0000 0.0000 0.5961
5 La 0.0000 0.0000 0.7903
6 Tl 0.5000 0.5000 0.1176
7 Tl 0.5000 0.5000 0.3086
8 Tl 0.5000 0.5000 0.5000
9 Tl 0.5000 0.5000 0.6914
10 Tl 0.5000 0.5000 0.8824

=====

24.
First-principles (PBE) data for crystalline BaLaTl at its relaxed geometry, as listed in Alexandria.

- symmetry = No. 8
- Fermi-level density of states (states/eV/f.u.) = 0.40
- offset from the most stable computed form (meV per atom) = 132

abc: 6.3784 6.3784 7.0065
angles: 104.90 104.90 54.69
Positions (direct):
1 Ba 0.0000 0.0000 0.0000
2 Ba 0.7424 0.7424 0.4040
3 La 0.4064 0.4064 0.3910
4 La 0.6007 0.6007 0.7881
5 Tl 0.0721 0.0721 0.5165
6 Tl 0.3083 0.3083 0.8755

=====

25.
First-principles (PBE) data for crystalline BaLaTl at its relaxed geometry, as listed in Alexandria.

- symmetry = No. 36
- Fermi-level density of states (states/eV/f.u.) = 6.29
- offset from the most stable computed form (meV per atom) = 75

abc: 7.4514 7.4514 7.3594
angles: 90.00 90.00 142.33
Positions (direct):
1 Ba 0.2063 0.7937 0.5000
2 Ba 0.7937 0.2063 0.0000
3 La 0.5002 0.4998 0.2489
4 La 0.4998 0.5002 0.7489
5 Tl 0.0983 0.9017 0.9989
6 Tl 0.9017 0.0983 0.4989

=====

26.
First-principles (PBE) data for crystalline BaLaTl2 at its relaxed geometry, as listed in Alexandria.

- symmetry = No. 6
- Fermi-level density of states (states/eV/f.u.) = 3.95
- VASP energy (eV per formula unit) = -13.01

abc: 4.0395 5.7917 5.9707
angles: 90.00 90.02 90.00
Positions (direct):
1 Ba 0.0000 0.0000 0.0000
2 La 0.9963 0.5000 0.4473
3 Tl 0.4989 0.0000 0.5014
4 Tl 0.4993 0.5000 0.9218

=====

27.
First-principles (PBE) data for crystalline BaLa2Tl3 at its relaxed geometry, as listed in Alexandria.

- symmetry = No. 123
- Fermi-level density of states (states/eV/f.u.) = 4.90
- VASP energy (eV per formula unit) = -21.33

abc: 4.0627 4.0627 12.3969
angles: 90.00 90.00 90.00
Positions (direct):
1 Ba 0.0000 0.0000 0.0000
2 La 0.0000 0.0000 0.3406
3 La 0.0000 0.0000 0.6594
4 Tl 0.5000 0.5000 0.1912
5 Tl 0.5000 0.5000 0.5000
6 Tl 0.5000 0.5000 0.8088